{
  "formula": "Tb4CN2",
  "functional": "GGA-PBE",
  "state": "optimized geometry",
  "lattice": [[7.193, 0.000, 0.000], [0.000, 7.193, 0.000], [0.000, 0.000, 10.189]],
  "species": ["C", "C", "C", "C", "Tb", "Tb", "Tb", "Tb", "Tb", "Tb", "Tb", "Tb", "Tb", "Tb", "Tb", "Tb", "Tb", "Tb", "Tb", "Tb", "N", "N", "N", "N", "N", "N", "N", "N"],
  "frac_coords": [[0.000, 0.742, 0.500], [0.258, 0.000, 0.750], [0.742, 0.000, 0.250], [0.000, 0.258, 0.000], [0.253, 0.982, 0.505], [0.747, 0.982, 0.495], [0.018, 0.253, 0.755], [0.747, 0.018, 0.005], [0.254, 0.491, 0.991], [0.509, 0.254, 0.241], [0.491, 0.746, 0.741], [0.254, 0.509, 0.509], [0.746, 0.491, 0.009], [0.746, 0.509, 0.491], [0.491, 0.254, 0.759], [0.509, 0.746, 0.259], [0.982, 0.253, 0.245], [0.253, 0.018, 0.995], [0.982, 0.747, 0.255], [0.018, 0.747, 0.745], [0.751, 0.751, 0.875], [0.249, 0.751, 0.125], [0.751, 0.249, 0.625], [0.249, 0.249, 0.375], [0.743, 0.500, 0.250], [0.500, 0.257, 0.000], [0.500, 0.743, 0.500], [0.257, 0.500, 0.750]],
  "e_tot_ev_per_atom": -7.259,
  "crystal_system": "tetragonal",
  "m_tot_mub_per_fu": 0.00,
  "e_form_raw_mev_per_atom": -917,
  "vol_a3_per_atom": 18.83
}